Record 1
DFT (PBE) results for CsMnCu3Se4 after structural relaxation.

Calculated values
Raw formation energy = -282 meV per atom
Space group = P-43m
E = -4.3097 eV per atom

abc: 6.254 6.254 6.254
angles: 90.00 90.00 90.00
Last column: magnetic moment on the atom in μB.
Atoms (fractional coordinates):
Se 0.788 0.212 0.788  -0.03
Se 0.212 0.212 0.212  -0.03
Se 0.788 0.788 0.212  -0.03
Se 0.212 0.788 0.788  -0.03
Cu 0.000 0.500 0.000  -0.02
Cu 0.500 0.000 0.000  -0.02
Cu 0.000 0.000 0.500  -0.02
Cs 0.500 0.500 0.500  -0.01
Mn 0.000 0.000 0.000  2.92


Record 2
DFT (PBE) results for ZrSe3O after structural relaxation.

Calculated values
Raw formation energy = 321 meV per atom
Space group = Pm-3m
Relative energy among the computed polymorphs = 40.7 kJ per mole of atoms
E = -4.4710 eV per atom

abc: 5.177 5.177 5.177
angles: 90.00 90.00 90.00
Atoms (fractional coordinates):
Se 0.500 0.000 0.000
Se 0.000 0.500 0.000
Se 0.000 0.000 0.500
Zr 0.000 0.000 0.000
O 0.500 0.500 0.500


Record 3
DFT (PBE) results for Sr4CaAg after structural relaxation.

Calculated values
Space group = P4/mmm
Relative energy among the computed polymorphs = 0.0 kJ per mole of atoms
DFT formation energy = -82 meV per atom
E = -2.0117 eV per atom

abc: 4.090 4.090 15.693
angles: 90.00 90.00 90.00
Atoms (fractional coordinates):
Sr 0.500 0.500 0.819
Sr 0.000 0.000 0.381
Sr 0.500 0.500 0.181
Sr 0.000 0.000 0.619
Ca 0.000 0.000 0.000
Ag 0.500 0.500 0.500


Record 4
DFT (PBE) results for BeRe2Hg after structural relaxation.

Calculated values
Space group = R-3m
Relative energy among the computed polymorphs = 38.8 kJ per mole of atoms
DFT formation energy = 649 meV per atom
E = -6.5821 eV per atom

abc: 9.105 9.105 9.105
angles: 17.64 17.64 17.64
Atoms (fractional coordinates):
Be 0.250 0.250 0.250
Re 0.510 0.510 0.510
Re 0.990 0.990 0.990
Hg 0.750 0.750 0.750


Record 5
DFT (PBE) results for Tb7PmPr12 after structural relaxation.

Calculated values
Space group = R-3
Relative energy among the computed polymorphs = 8.4 kJ per mole of atoms
DFT formation energy = 230 meV per atom
E = -4.4962 eV per atom

abc: 6.303 11.600 11.600
angles: 116.79 100.44 100.44
Atoms (fractional coordinates):
Pr 0.421 0.354 0.999
Pr 0.088 0.177 0.589
Pr 0.089 0.588 0.177
Pr 0.421 0.001 0.354
Pr 0.933 0.354 0.354
Pr 0.579 0.646 0.001
Pr 0.911 0.412 0.823
Pr 0.067 0.646 0.646
Pr 0.912 0.823 0.411
Pr 0.501 0.589 0.412
Pr 0.579 0.999 0.646
Pr 0.499 0.411 0.588
Tb 0.124 0.999 0.753
Tb 0.876 0.246 0.999
Tb 0.124 0.754 0.001
Tb 0.876 0.001 0.247
Tb 0.630 0.753 0.754
Tb 0.370 0.247 0.246
Tb 0.500 0.000 0.000
Pm 0.000 0.000 0.000


Record 6
DFT (PBE) results for V3ReW2 after structural relaxation.

Calculated values
Space group = Cmmm
DFT formation energy = -196 meV per atom
E = -11.1481 eV per atom

abc: 6.152 6.854 6.854
angles: 143.13 90.00 90.00
Atoms (fractional coordinates):
W 0.220 0.334 0.666
W 0.720 0.666 0.334
W 0.720 0.334 0.666
W 0.220 0.666 0.334
Re 0.720 0.000 0.000
Re 0.220 0.000 0.000
V 0.470 0.500 0.500
V 0.970 0.500 0.500
V 0.470 0.165 0.835
V 0.970 0.165 0.835
V 0.470 0.835 0.165
V 0.970 0.835 0.165


Record 7
DFT (PBE) results for In5SnBi2 after structural relaxation.

Calculated values
Space group = Pbam
DFT formation energy = 26 meV per atom
E = -3.1558 eV per atom

abc: 4.726 7.003 14.027
angles: 90.00 90.00 90.00
Atoms (fractional coordinates):
Sn 0.000 0.500 0.000
Sn 0.000 0.000 0.500
Bi 0.500 0.257 0.124
Bi 0.500 0.743 0.876
Bi 0.500 0.243 0.624
Bi 0.500 0.757 0.376
In 0.000 0.993 0.748
In 0.500 0.757 0.125
In 0.000 0.493 0.752
In 0.000 0.007 0.252
In 0.500 0.743 0.625
In 0.000 0.500 0.500
In 0.500 0.243 0.875
In 0.000 0.000 0.000
In 0.500 0.257 0.375
In 0.000 0.507 0.248


Record 8
DFT (PBE) results for CaRh4Pb4 after structural relaxation.

Calculated values
Space group = P4_2/n
DFT formation energy = -20 meV per atom
E = -5.1577 eV per atom

abc: 5.479 8.980 8.980
angles: 90.00 90.00 90.00
Atoms (fractional coordinates):
Rh 0.909 0.314 0.853
Rh 0.909 0.686 0.147
Rh 0.591 0.814 0.353
Rh 0.091 0.853 0.686
Rh 0.409 0.353 0.186
Rh 0.091 0.147 0.314
Rh 0.409 0.647 0.814
Rh 0.591 0.186 0.647
Pb 0.590 0.881 0.657
Pb 0.590 0.119 0.343
Pb 0.410 0.657 0.119
Pb 0.910 0.619 0.843
Pb 0.910 0.381 0.157
Pb 0.090 0.843 0.381
Pb 0.090 0.157 0.619
Pb 0.410 0.343 0.881
Ca 0.500 0.500 0.500
Ca 0.000 0.000 0.000


Record 9
DFT (PBE) results for Dy3Ho2Te6 after structural relaxation.

Calculated values
Raw formation energy = -1382 meV per atom
Space group = C2/m
Relative energy among the computed polymorphs = 0.0 kJ per mole of atoms
E = -5.1834 eV per atom

abc: 7.499 7.468 7.475
angles: 80.31 70.41 59.86
Atoms (fractional coordinates):
Te 0.421 0.677 0.741
Te 0.097 0.323 0.741
Te 0.579 0.323 0.259
Te 0.903 0.677 0.259
Te 0.741 0.000 0.744
Te 0.259 0.000 0.256
Dy 0.670 0.660 0.000
Dy 0.000 0.000 0.000
Dy 0.330 0.340 0.000
Ho 0.836 0.328 0.500
Ho 0.164 0.672 0.500


Record 10
DFT (PBE) results for SrReIr after structural relaxation.

Calculated values
Space group = Pm
Relative energy among the computed polymorphs = 7.9 kJ per mole of atoms
DFT formation energy = 122 meV per atom
E = -7.5416 eV per atom

abc: 6.182 4.534 5.195
angles: 90.00 113.90 90.00
Atoms (fractional coordinates):
Ir 0.004 0.474 0.415
Ir 0.003 0.974 0.116
Sr 0.444 0.974 0.748
Sr 0.451 0.474 0.233
Re 0.901 0.974 0.567
Re 0.903 0.474 0.866


Record 11
DFT (PBE) results for ErIn3Cu8 after structural relaxation.

Calculated values
Space group = R3m
Relative energy among the computed polymorphs = 0.0 kJ per mole of atoms
DFT formation energy = -150 meV per atom
E = -3.9458 eV per atom

abc: 5.063 5.063 8.888
angles: 73.45 73.45 60.00
Atoms (fractional coordinates):
Cu 0.938 0.938 0.689
Cu 0.187 0.187 0.438
Cu 0.938 0.436 0.689
Cu 0.436 0.938 0.689
Cu 0.438 0.939 0.185
Cu 0.688 0.688 0.937
Cu 0.438 0.438 0.185
Cu 0.939 0.438 0.185
In 0.000 0.000 0.001
In 0.375 0.375 0.874
In 0.499 0.499 0.504
Er 0.875 0.875 0.375


Record 12
DFT (PBE) results for MnGaHOs after structural relaxation.

Calculated values
Space group = Amm2
Relative energy among the computed polymorphs = 18.6 kJ per mole of atoms
E = -6.4810 eV per atom

abc: 2.750 4.138 7.553
angles: 90.00 90.00 90.00
Last column: magnetic moment on the atom in μB.
Atoms (fractional coordinates):
Ga 0.500 0.500 0.220  -0.01
Ga 0.500 0.000 0.720  -0.01
Mn 0.500 0.000 0.402  1.18
Mn 0.500 0.500 0.902  1.18
Os 0.000 0.000 0.036  -0.12
Os 0.000 0.500 0.536  -0.12
H 0.000 0.000 0.273  -0.01
H 0.000 0.500 0.773  -0.01


Record 13
DFT (PBE) results for TaSbNF2 after structural relaxation.

Calculated values
Raw formation energy = -913 meV per atom
Space group = P4/mmm
Relative energy among the computed polymorphs = 0.0 kJ per mole of atoms
E = -6.5212 eV per atom

abc: 4.247 4.247 4.101
angles: 90.00 90.00 90.00
Atoms (fractional coordinates):
N 0.000 0.000 0.500
Sb 0.500 0.500 0.500
Ta 0.000 0.000 0.000
F 0.000 0.500 0.000
F 0.500 0.000 0.000


Record 14
DFT (PBE) results for Ta2GaMo after structural relaxation.

Calculated values
Space group = R-3m
DFT formation energy = 106 meV per atom
E = -9.2849 eV per atom

abc: 3.104 3.104 8.672
angles: 79.69 79.69 60.00
Atoms (fractional coordinates):
Ga 0.000 0.000 0.000
Mo 0.500 0.500 0.500
Ta 0.246 0.246 0.261
Ta 0.754 0.754 0.739


Record 15
DFT (PBE) results for Ti2PdPb after structural relaxation.

Calculated values
Space group = P4/mmm
DFT formation energy = -145 meV per atom
E = -6.3182 eV per atom

abc: 3.076 3.076 7.817
angles: 90.00 90.00 90.00
Atoms (fractional coordinates):
Pd 0.500 0.500 0.000
Ti 0.000 0.000 0.783
Ti 0.000 0.000 0.217
Pb 0.500 0.500 0.500


Record 16
DFT (PBE) results for Ca3CuW after structural relaxation.

Calculated values
Space group = Pm-3m
Relative energy among the computed polymorphs = 19.2 kJ per mole of atoms
DFT formation energy = 1204 meV per atom
E = -3.4068 eV per atom

abc: 5.486 5.486 5.486
angles: 90.00 90.00 90.00
Atoms (fractional coordinates):
Ca 0.000 0.500 0.000
Ca 0.000 0.000 0.500
Ca 0.500 0.000 0.000
Cu 0.500 0.500 0.500
W 0.000 0.000 0.000


Record 17
DFT (PBE) results for Co2TcAs after structural relaxation.

Calculated values
Space group = P4mm
DFT formation energy = 120 meV per atom
E = -7.1873 eV per atom

abc: 2.965 2.965 5.823
angles: 90.00 90.00 90.00
Last column: magnetic moment on the atom in μB.
Atoms (fractional coordinates):
As 0.500 0.500 0.766  0.01
Co 0.500 0.500 0.236  1.53
Co 0.000 0.000 0.998  1.31
Tc 0.000 0.000 0.500  0.23


Record 18
DFT (PBE) results for NdSmGdPb after structural relaxation.

Calculated values
Space group = F-43m
DFT formation energy = -179 meV per atom
E = -6.9982 eV per atom

abc: 5.577 5.577 5.577
angles: 60.00 60.00 60.00
Last column: magnetic moment on the atom in μB.
Atoms (fractional coordinates):
Nd 0.000 0.000 0.000  0.13
Sm 0.500 0.500 0.500  0.14
Gd 0.750 0.750 0.750  7.37
Pb 0.250 0.250 0.250  -0.03


Record 19
DFT (PBE) results for ZrZnInOs after structural relaxation.

Calculated values
Space group = F-43m
DFT formation energy = -74 meV per atom
E = -6.0220 eV per atom

abc: 4.654 4.654 4.654
angles: 60.00 60.00 60.00
Atoms (fractional coordinates):
Zr 0.500 0.500 0.500
Zn 0.750 0.750 0.750
In 0.000 0.000 0.000
Os 0.250 0.250 0.250


Record 20
DFT (PBE) results for KSi3Au3 after structural relaxation.

Calculated values
Raw formation energy = -5 meV per atom
Space group = Pm-3n
E = -3.8903 eV per atom

abc: 6.966 6.966 6.966
angles: 90.00 90.00 90.00
Atoms (fractional coordinates):
Au 0.500 0.000 0.250
Au 0.250 0.500 0.000
Au 0.000 0.750 0.500
Au 0.000 0.250 0.500
Au 0.500 0.000 0.750
Au 0.750 0.500 0.000
Si 0.500 0.750 0.000
Si 0.000 0.500 0.250
Si 0.250 0.000 0.500
Si 0.750 0.000 0.500
Si 0.500 0.250 0.000
Si 0.000 0.500 0.750
K 0.000 0.000 0.000
K 0.500 0.500 0.500


no.,calculated volume (Å³ per atom)
1,27.2
2,27.8
3,43.8
4,15.1
5,35.5
6,14.5
7,29.0
8,24.5
9,31.0
10,22.2
11,15.5
12,10.7
13,14.8
14,17.7
15,18.5
16,33.0
17,12.8
18,30.7
19,17.8
20,24.1